Arrangement w

Computed, not measured: a relaxed BeTcCl crystal at the PBE level of DFT.

Space-group type: F-43m

The structure in POSCAR format:
```
BeTcCl
1.0
0.000 2.832 2.832
2.832 0.000 2.832
2.832 2.832 0.000
Be Tc Cl
1 1 1
direct
0.000 0.000 0.000 Be
0.500 0.500 0.500 Tc
0.250 0.250 0.250 Cl
```


Arrangement x

Computed, not measured: a relaxed BeTcCl crystal at the PBE level of DFT.

Space-group type: P3m1

The structure in POSCAR format:
```
BeTcCl
1.0
2.918 0.000 0.000
-1.459 2.527 0.000
0.000 0.000 5.479
Be Tc Cl
1 1 1
direct
0.000 0.000 0.000 Be
0.333 0.667 0.683 Tc
0.667 0.333 0.325 Cl
```


arrangement x is preferred energetically. Next in line: 91.5 kJ/mol of atoms higher.


Arrangement w

Computed, not measured: a relaxed BeTcCl crystal at the PBE level of DFT.

Space-group type: P3m1

The structure in POSCAR format:
```
BeTcCl
1.0
4.191 0.000 0.000
-2.095 3.630 0.000
0.000 0.000 2.708
Be Tc Cl
1 1 1
direct
0.000 0.000 0.000 Be
0.333 0.667 0.499 Tc
0.667 0.333 0.498 Cl
```


Arrangement x

Computed, not measured: a relaxed BeTcCl crystal at the PBE level of DFT.

Space-group type: I4mm

The structure in POSCAR format:
```
BeTcCl
1.0
-1.442 1.442 6.322
1.442 -1.442 6.322
1.442 1.442 -6.322
Be Tc Cl
1 1 1
direct
0.000 0.000 0.000 Be
0.403 0.403 0.000 Tc
0.775 0.775 0.000 Cl
```


arrangement x is preferred energetically. Next in line: 37.1 kJ/mol of atoms higher.


Arrangement w

Computed, not measured: a relaxed BeTeCl crystal at the PBE level of DFT.

Space-group type: F-43m

The structure in POSCAR format:
```
BeTeCl
1.0
0.000 3.317 3.317
3.317 0.000 3.317
3.317 3.317 0.000
Be Te Cl
1 1 1
direct
0.000 0.000 0.000 Be
0.750 0.750 0.750 Te
0.500 0.500 0.500 Cl
```


Arrangement x

Computed, not measured: a relaxed BeTeCl crystal at the PBE level of DFT.

Space-group type: P3m1

The structure in POSCAR format:
```
BeTeCl
1.0
3.348 0.000 0.000
-1.674 2.899 0.000
0.000 0.000 7.319
Be Te Cl
1 1 1
direct
0.000 0.000 0.000 Be
0.333 0.667 0.749 Te
0.667 0.333 0.163 Cl
```


arrangement x is preferred energetically. Next in line: 96.8 kJ/mol of atoms higher.